A plane-wave DFT calculation with PBE-GGA was carried out for Pm4Nd5Tl2 after structural relaxation.

Cell and atoms, written as CIF:
```
data_Pm4Nd5Tl2
_symmetry_space_group_name_H-M 'P 1'
_symmetry_Int_Tables_number 1
_symmetry_space_group_name_Hall 'P 1'
_cell_length_a 3.609
_cell_length_b 8.829
_cell_length_c 11.502
_cell_angle_alpha 94.77
_cell_angle_beta 90.00
_cell_angle_gamma 90.00
loop_
_atom_site_label
_atom_site_type_symbol
_atom_site_fract_x
_atom_site_fract_y
_atom_site_fract_z
Nd1 Nd 0.000 0.500 0.000
Nd2 Nd 0.000 0.557 0.304
Pm1 Pm 0.500 0.150 0.883
Tl1 Tl 0.000 0.064 0.640
Nd3 Nd 0.000 0.443 0.696
Pm2 Pm 0.500 0.259 0.453
Pm3 Pm 0.500 0.850 0.117
Tl2 Tl 0.000 0.936 0.360
Nd4 Nd 0.000 0.201 0.167
Nd5 Nd 0.000 0.799 0.833
Pm4 Pm 0.500 0.741 0.547
```

- Calculated formation energy: -0.027 eV per atom
- Fermi-level density of states: 1.366 states/eV/atom
- Calculated total energy: -47.87 eV/f.u.